Record 1
Density functional theory data (PBE) for a geometry-optimized Ce3HgN2 structure.

Unit cell a=3.477 b=6.121 c=11.723 alpha=90.00 beta=90.00 gamma=90.00
Atoms (fractional coordinates):
N 0.500 0.004 0.499
Hg 0.000 0.069 0.892
Ce 0.500 0.623 0.868
N 0.000 0.008 0.252
Ce 0.000 0.745 0.585
Hg 0.000 0.569 0.108
N 0.500 0.504 0.501
Ce 0.500 0.752 0.335
Ce 0.500 0.252 0.665
Ce 0.500 0.123 0.132
Ce 0.000 0.245 0.415
N 0.000 0.508 0.748

Results
SG: No. 26
DOS at the Fermi energy in states/eV/atom: 1.95
Total energy in eV per atom: -6.767

=====

Record 2
Density functional theory data (PBE) for a geometry-optimized PmPrPa structure.

Unit cell a=4.105 b=4.105 c=6.207 alpha=109.31 beta=109.31 gamma=90.00
Atoms (fractional coordinates):
Pr 0.943 0.943 0.887
Pm 0.625 0.625 0.250
Pa 0.282 0.282 0.564

Results
SG: No. 107
Formation energy from the elements in eV/atom: 0.428
Energy above the lowest structure with this stoichiometry in eV per atom: 0.2447
DOS at the Fermi energy in states/eV/atom: 2.68
Total energy in eV per atom: -5.914

=====

Record 3
Density functional theory data (PBE) for a geometry-optimized Ac5NdTe6 structure.

Unit cell a=8.139 b=8.139 c=8.141 alpha=99.62 beta=99.62 gamma=120.27
Atoms (fractional coordinates):
Ac 0.335 0.665 0.000
Te 0.759 0.759 0.249
Ac 0.829 0.171 0.500
Ac 0.665 0.335 0.000
Te 0.594 0.920 0.757
Nd 0.000 0.000 0.000
Te 0.406 0.080 0.243
Te 0.080 0.406 0.243
Ac 0.171 0.829 0.500
Te 0.920 0.594 0.757
Ac 0.500 0.500 0.500
Te 0.241 0.241 0.751

Results
SG: No. 12
DOS at the Fermi energy in states/eV/atom: 0.60
Total energy in eV per atom: -5.158

=====

Record 4
Density functional theory data (PBE) for a geometry-optimized TcBr3O structure.

Unit cell a=4.787 b=4.787 c=4.787 alpha=90.00 beta=90.00 gamma=90.00
Atoms (fractional coordinates):
O 0.000 0.000 0.000
Br 0.000 0.500 0.000
Tc 0.500 0.500 0.500
Br 0.000 0.000 0.500
Br 0.500 0.000 0.000

Results
SG: No. 221
Energy above the lowest structure with this stoichiometry in eV per atom: 1.3990
DOS at the Fermi energy in states/eV/atom: 0.49
Total energy in eV per atom: -3.100

=====

Record 5
Density functional theory data (PBE) for a geometry-optimized Zn2InAg2Au5 structure.

Unit cell a=4.081 b=9.509 c=9.509 alpha=90.00 beta=90.00 gamma=90.00
Atoms (fractional coordinates):
Ag 0.000 0.168 0.332
Au 0.500 0.194 0.093
Zn 0.000 0.125 0.625
Au 0.500 0.407 0.306
Zn 0.000 0.875 0.375
Au 0.500 0.093 0.806
Zn 0.000 0.375 0.125
Au 0.500 0.000 0.500
Au 0.500 0.806 0.907
Au 0.500 0.306 0.593
Ag 0.000 0.332 0.832
Au 0.500 0.593 0.694
Au 0.500 0.907 0.194
In 0.000 0.000 0.000
In 0.000 0.500 0.500
Au 0.500 0.694 0.407
Zn 0.000 0.625 0.875
Au 0.500 0.500 0.000
Ag 0.000 0.832 0.668
Ag 0.000 0.668 0.168

Results
SG: No. 127
Formation energy from the elements in eV/atom: -0.097
DOS at the Fermi energy in states/eV/atom: 0.23
Total energy in eV per atom: -2.835

=====

Record 6
Density functional theory data (PBE) for a geometry-optimized Dy5Y12Mg3 structure.

Unit cell a=16.124 b=16.124 c=16.124 alpha=109.47 beta=109.47 gamma=109.47
Atoms (fractional coordinates):
Y 0.854 0.584 0.932
Y 0.068 0.916 0.146
Y 0.568 0.646 0.416
Dy 0.000 0.500 0.000
Mg 0.125 0.250 0.875
Y 0.730 0.146 0.077
Dy 0.750 0.625 0.375
Dy 0.000 0.000 0.500
Y 0.770 0.423 0.354
Mg 0.375 0.750 0.625
Dy 0.250 0.875 0.125
Dy 0.500 0.500 0.500
Y 0.432 0.354 0.584
Y 0.270 0.854 0.923
Mg 0.750 0.875 0.625
Y 0.577 0.230 0.146
Dy 0.625 0.875 0.250
Y 0.084 0.932 0.354
Mg 0.375 0.625 0.250
Y 0.423 0.652 0.068
Y 0.230 0.652 0.084
Y 0.348 0.770 0.416
Y 0.652 0.423 0.568
Y 0.084 0.152 0.230
Y 0.152 0.084 0.730
Y 0.432 0.077 0.348
Mg 0.875 0.750 0.125
Dy 0.500 0.000 0.500
Dy 0.250 0.375 0.625
Y 0.923 0.354 0.270
Mg 0.875 0.125 0.250
Y 0.146 0.416 0.068
Y 0.577 0.348 0.932
Mg 0.750 0.375 0.125
Y 0.848 0.932 0.077
Dy 0.125 0.375 0.250
Y 0.077 0.432 0.848
Mg 0.625 0.375 0.750
Y 0.077 0.646 0.730
Dy 0.500 0.500 0.000
Y 0.354 0.923 0.770
Y 0.270 0.416 0.848
Y 0.652 0.230 0.584
Mg 0.250 0.625 0.875
Dy 0.000 0.500 0.500
Y 0.423 0.770 0.854
Y 0.230 0.577 0.646
Dy 0.375 0.125 0.750
Y 0.354 0.432 0.084
Y 0.646 0.077 0.230
Y 0.770 0.348 0.916
Y 0.584 0.730 0.652
Y 0.916 0.848 0.770
Mg 0.250 0.125 0.375
Y 0.068 0.152 0.423
Y 0.646 0.568 0.916
Y 0.568 0.923 0.652
Dy 0.125 0.750 0.375
Y 0.146 0.730 0.577
Dy 0.500 0.000 0.000
Mg 0.125 0.875 0.750
Mg 0.625 0.250 0.375
Y 0.916 0.068 0.646
Dy 0.875 0.625 0.750
Dy 0.625 0.750 0.875
Y 0.730 0.584 0.152
Y 0.854 0.270 0.423
Y 0.584 0.854 0.432
Dy 0.875 0.250 0.625
Y 0.932 0.084 0.854
Dy 0.750 0.125 0.875
Y 0.932 0.848 0.577
Dy 0.000 0.000 0.000
Y 0.416 0.270 0.348
Y 0.152 0.068 0.923
Y 0.416 0.146 0.568
Y 0.848 0.916 0.270
Y 0.348 0.577 0.432
Y 0.923 0.568 0.152
Dy 0.375 0.250 0.125

Results
SG: No. 230
Formation energy from the elements in eV/atom: 0.969
DOS at the Fermi energy in states/eV/atom: 1.83
Total energy in eV per atom: -4.299

=====

Record 7
Density functional theory data (PBE) for a geometry-optimized OsSeCl2 structure.

Unit cell a=2.974 b=5.263 c=4.415 alpha=90.00 beta=90.00 gamma=90.00
Atoms (fractional coordinates):
Os 0.500 0.000 0.500
Cl 0.000 0.000 0.000
Cl 0.500 0.500 0.000
Se 0.000 0.500 0.500

Results
SG: No. 47
Energy above the lowest structure with this stoichiometry in eV per atom: 1.1588
DOS at the Fermi energy in states/eV/atom: 0.98
Total energy in eV per atom: -3.558

=====

Record 8
Density functional theory data (PBE) for a geometry-optimized TaCrBr2 structure.

Unit cell a=3.394 b=3.394 c=9.240 alpha=90.00 beta=90.00 gamma=125.09
Atoms (fractional coordinates):
Br 0.000 0.000 0.986
Cr 0.500 0.500 0.250
Ta 0.500 0.500 0.750
Br 0.000 0.000 0.514

Results
SG: No. 65
Energy above the lowest structure with this stoichiometry in eV per atom: 0.4961
DOS at the Fermi energy in states/eV/atom: 0.66
Total energy in eV per atom: -5.653